Compound: CrSbC2S
Source: Alexandria via LeMat-Bulk
Functional: meta-GGA SCAN
Structure: single point on PBEsol structure

a = 3.844 Å, b = 3.844 Å, c = 4.539 Å
α = 90.00°, β = 90.00°, γ = 90.00°
Positions (direct):
Cr: 0.000 0.000 0.000
Sb: 0.500 0.500 0.000
C: 0.000 0.500 0.500
C: 0.500 0.000 0.500
S: 0.000 0.000 0.500

Values from the calculation:
Energy relative to the elements, uncorrected   1.969 eV per atom
Final energy   -15.125 eV per atom


Compound: CrSbTe2C
Source: Alexandria via LeMat-Bulk
Functional: meta-GGA SCAN
Structure: single point on PBEsol structure

a = 4.717 Å, b = 4.717 Å, c = 4.644 Å
α = 90.00°, β = 90.00°, γ = 90.00°
Positions (direct):
Cr: 0.000 0.000 0.000
Sb: 0.500 0.500 0.000
Te: 0.000 0.500 0.500
Te: 0.500 0.000 0.500
C: 0.500 0.500 0.500

Values from the calculation:
Energy relative to the elements, uncorrected   1.070 eV per atom
Final energy   -26.979 eV per atom


Compound: ZrCr2SbC
Source: Alexandria via LeMat-Bulk
Functional: meta-GGA SCAN
Structure: single point on PBEsol structure

a = 4.884 Å, b = 4.884 Å, c = 4.138 Å
α = 90.00°, β = 90.00°, γ = 90.00°
Positions (direct):
Zr: 0.000 0.000 0.000
Cr: 0.000 0.500 0.000
Cr: 0.500 0.000 0.000
Sb: 0.500 0.500 0.500
C: 0.000 0.000 0.500

Values from the calculation:
Energy relative to the elements, uncorrected   1.605 eV per atom
Final energy   -21.361 eV per atom


Compound: Sc2CrTcC
Source: Alexandria via LeMat-Bulk
Functional: meta-GGA SCAN
Structure: single point on PBEsol structure

a = 4.871 Å, b = 4.871 Å, c = 4.339 Å
α = 90.00°, β = 90.00°, γ = 90.00°
Positions (direct):
Sc: 0.000 0.500 0.000
Sc: 0.500 0.000 0.000
Cr: 0.000 0.000 0.500
Tc: 0.000 0.000 0.000
C: 0.500 0.500 0.500

Values from the calculation:
Formation energy   1.46 eV per atom
Final energy   -16.948 eV per atom


Compound: CrC3Se
Source: Alexandria via LeMat-Bulk
Functional: meta-GGA SCAN
Structure: single point on PBEsol structure

a = 3.830 Å, b = 3.830 Å, c = 3.830 Å
α = 90.00°, β = 90.00°, γ = 90.00°
Positions (direct):
Cr: 0.000 0.000 0.000
C: 0.000 0.500 0.500
C: 0.500 0.000 0.500
C: 0.500 0.500 0.000
Se: 0.500 0.500 0.500

Values from the calculation:
Energy relative to the elements, uncorrected   2.770 eV per atom
ΔE to the lowest computed polymorph   61.8 kJ/mol of atoms
Final energy   -10.983 eV per atom


Compound: CrC3Se
Source: Alexandria via LeMat-Bulk
Functional: meta-GGA SCAN
Structure: single point on PBEsol structure

a = 3.856 Å, b = 3.856 Å, c = 3.856 Å
α = 90.00°, β = 90.00°, γ = 90.00°
Positions (direct):
Cr: 0.000 0.000 0.000
C: 0.000 0.000 0.500
C: 0.000 0.500 0.000
C: 0.500 0.000 0.000
Se: 0.500 0.500 0.500

Values from the calculation:
Energy relative to the elements, uncorrected   2.129 eV per atom
ΔE to the lowest computed polymorph   0.0 kJ/mol of atoms
Final energy   -11.623 eV per atom